First-principles (PBE) data for a geometry-optimized GaCo2Mo structure, as listed in OQMD.

The structure in CIF format:
```
data_GaCo2Mo
_cell_length_a 5.878
_cell_length_b 5.878
_cell_length_c 5.878
_cell_angle_alpha 90.00
_cell_angle_beta 90.00
_cell_angle_gamma 90.00
_symmetry_space_group_name_H-M 'F -4 3 m'
_symmetry_Int_Tables_number 216
_symmetry_space_group_name_Hall 'F -4 2 3'
loop_
_atom_site_label
_atom_site_type_symbol
_atom_site_fract_x
_atom_site_fract_y
_atom_site_fract_z
Ga1 Ga 0.000 0.000 0.000
Co1 Co 0.000 0.000 0.500
Co2 Co 0.250 0.250 0.750
Mo1 Mo 0.250 0.250 0.250
```

Output
- crystal system = cubic
- total energy (eV per atom) = -6.936